First-principles (PBE) data for crystalline Sm3Dy2Sc8 at its relaxed geometry, as listed in the Alexandria database.

Lattice parameters (Å, degrees): 10.466 10.466 5.283 90.07 90.07 40.51
Atoms (fractional coordinates):
1 Sm 0.000 0.000 0.000
2 Sm 0.291 0.709 0.500
3 Sm 0.709 0.291 0.500
4 Dy 0.240 0.240 0.998
5 Dy 0.760 0.760 0.002
6 Sc 0.133 0.133 0.499
7 Sc 0.183 0.596 0.999
8 Sc 0.334 0.334 0.498
9 Sc 0.404 0.817 0.001
10 Sc 0.596 0.183 0.999
11 Sc 0.666 0.666 0.502
12 Sc 0.817 0.404 0.001
13 Sc 0.867 0.867 0.501

Results
Magnetic moment: 0.00 μB/cell
Formation energy from the elements: 374 kJ/mol of formula units